Record 1
VASP calculation (PBE-GGA) on a geometry-optimized LiRe3C structure.

DFT formation energy = 225.2 kJ/mol of formula units
Magnetization = 0.0 Bohr magnetons per cell
Total energy = -9.230 eV/atom

Unit cell a=4.0691 b=4.0691 c=4.0691 alpha=90.00 beta=90.00 gamma=90.00
Positions (direct):
Re (0.0000, 0.0000, 0.5000)
Re (0.0000, 0.5000, 0.0000)
Re (0.5000, 0.0000, 0.0000)
Li (0.5000, 0.5000, 0.5000)
C (0.0000, 0.0000, 0.0000)

=====

Record 2
VASP calculation (PBE-GGA) on a geometry-optimized LiY2ReC structure.

DFT formation energy = -61.5 kJ/mol of formula units
Magnetization = 0.0 Bohr magnetons per cell
Total energy = -7.430 eV/atom

Unit cell a=5.0265 b=5.0265 c=3.9686 alpha=90.00 beta=90.00 gamma=90.00
Positions (direct):
Y (0.0000, 0.5000, 0.0000)
Y (0.5000, 0.0000, 0.0000)
Re (0.0000, 0.0000, 0.5000)
Li (0.5000, 0.5000, 0.5000)
C (0.0000, 0.0000, 0.0000)

=====

Record 3
VASP calculation (PBE-GGA) on a geometry-optimized Li2Rh3C structure.

DFT formation energy = -77.2 kJ/mol of formula units
Magnetization = 0.0 Bohr magnetons per cell
Total energy = -5.984 eV/atom

Unit cell a=6.6512 b=6.6512 c=6.6512 alpha=90.00 beta=90.00 gamma=90.00
Positions (direct):
Rh (0.3750, 0.7949, 0.9551)
Rh (0.2949, 0.5449, 0.6250)
Rh (0.7051, 0.0449, 0.8750)
Rh (0.4551, 0.1250, 0.2051)
Rh (0.2051, 0.4551, 0.1250)
Rh (0.7949, 0.9551, 0.3750)
Rh (0.1250, 0.2051, 0.4551)
Rh (0.0449, 0.8750, 0.7051)
Rh (0.6250, 0.2949, 0.5449)
Rh (0.5449, 0.6250, 0.2949)
Rh (0.9551, 0.3750, 0.7949)
Rh (0.8750, 0.7051, 0.0449)
Li (0.3169, 0.1831, 0.8169)
Li (0.0669, 0.0669, 0.0669)
Li (0.4331, 0.9331, 0.5669)
Li (0.8169, 0.3169, 0.1831)
Li (0.6831, 0.6831, 0.6831)
Li (0.9331, 0.5669, 0.4331)
Li (0.5669, 0.4331, 0.9331)
Li (0.1831, 0.8169, 0.3169)
C (0.8750, 0.1250, 0.6250)
C (0.1250, 0.6250, 0.8750)
C (0.6250, 0.8750, 0.1250)
C (0.3750, 0.3750, 0.3750)

=====

Record 4
VASP calculation (PBE-GGA) on a geometry-optimized Li2RhC2 structure.

DFT formation energy = 10.3 kJ/mol of formula units
Magnetization = 0.0 Bohr magnetons per cell
Total energy = -5.904 eV/atom

Unit cell a=5.2147 b=5.2147 c=3.4960 alpha=90.00 beta=90.00 gamma=90.00
Positions (direct):
Li (0.8162, 0.3162, 0.5000)
Li (0.1838, 0.6838, 0.5000)
Li (0.6838, 0.8162, 0.5000)
Li (0.3162, 0.1838, 0.5000)
Rh (0.5000, 0.5000, 0.0000)
Rh (0.0000, 0.0000, 0.0000)
C (0.4086, 0.9086, 0.0000)
C (0.0914, 0.4086, 0.0000)
C (0.5914, 0.0914, 0.0000)
C (0.9086, 0.5914, 0.0000)

=====

Record 5
VASP calculation (PBE-GGA) on a geometry-optimized Li3RhC structure.

DFT formation energy = 746.2 kJ/mol of formula units
Magnetization = 0.7 Bohr magnetons per cell
Total energy = -2.917 eV/atom

Unit cell a=4.4641 b=4.4641 c=4.4641 alpha=90.00 beta=90.00 gamma=90.00
Positions (direct):
Li (0.5000, 0.0000, 0.0000)
Li (0.0000, 0.0000, 0.5000)
Li (0.0000, 0.5000, 0.0000)
C (0.5000, 0.5000, 0.5000)
Rh (0.0000, 0.0000, 0.0000)

=====

Record 6
VASP calculation (PBE-GGA) on a geometry-optimized LiRhC2 structure.

DFT formation energy = 398.4 kJ/mol of formula units
Magnetization = 0.0 Bohr magnetons per cell
Total energy = -5.896 eV/atom

Unit cell a=4.8805 b=4.8805 c=5.7624 alpha=64.95 beta=64.95 gamma=90.00
Positions (direct):
C (0.3750, 0.3097, 0.7500)
C (0.8750, 0.9403, 0.7500)
C (0.6903, 0.1250, 0.2500)
C (0.0597, 0.6250, 0.2500)
Rh (0.7500, 0.2500, 0.5000)
Rh (0.0000, 0.0000, 0.0000)
Li (0.2500, 0.7500, 0.5000)
Li (0.5000, 0.5000, 0.0000)

=====

Record 7
VASP calculation (PBE-GGA) on a geometry-optimized LiRhC2 structure.

DFT formation energy = 443.4 kJ/mol of formula units
Magnetization = 0.0 Bohr magnetons per cell
Total energy = -5.779 eV/atom

Unit cell a=3.6620 b=3.6620 c=3.6620 alpha=60.00 beta=60.00 gamma=60.00
Positions (direct):
Rh (0.5000, 0.5000, 0.5000)
C (0.7500, 0.7500, 0.7500)
C (0.2500, 0.2500, 0.2500)
Li (0.0000, 0.0000, 0.0000)

=====

Record 8
VASP calculation (PBE-GGA) on a geometry-optimized LiRhC3 structure.

DFT formation energy = 1009.2 kJ/mol of formula units
Magnetization = 2.0 Bohr magnetons per cell
Total energy = -5.296 eV/atom

Unit cell a=4.0064 b=4.0064 c=4.0064 alpha=90.00 beta=90.00 gamma=90.00
Positions (direct):
C (0.0000, 0.0000, 0.5000)
C (0.0000, 0.5000, 0.0000)
C (0.5000, 0.0000, 0.0000)
Rh (0.0000, 0.0000, 0.0000)
Li (0.5000, 0.5000, 0.5000)

=====

> Which value of magnetization does entry 2 give?

0.0 Bohr magnetons per cell